Entry 1:
First-principles (PBE) data for a relaxed Mg2ZnNi crystal, as listed in Alexandria via LeMat-Bulk.

a b c (Å): 4.2590 4.2590 3.4876
angles (deg): 90.00 90.00 90.00
Fractional positions:
Mg: 0.0000 0.5000 0.0000
Mg: 0.5000 0.0000 0.0000
Zn: 0.0000 0.0000 0.5000
Ni: 0.5000 0.5000 0.5000

Output
The energy relative to the elements is -0.10 eV/atom. The density of states at the Fermi level comes out at 1.9 states/eV/cell.


Entry 2:
First-principles (PBE) data for a relaxed InPbAu5 crystal, as listed in Alexandria via LeMat-Bulk.

a b c (Å): 4.1063 4.1063 9.0009
angles (deg): 90.00 90.00 90.00
Fractional positions:
In: 0.0000 0.0000 0.0000
Pb: 0.5000 0.5000 0.5000
Au: 0.0000 0.5000 0.2478
Au: 0.0000 0.5000 0.7522
Au: 0.5000 0.0000 0.2478
Au: 0.5000 0.0000 0.7522
Au: 0.5000 0.5000 0.0000

Output
The energy relative to the elements is -0.03 eV/atom. The density of states at the Fermi level comes out at 2.1 states/eV/cell.


Entry 3:
First-principles (PBE) data for a relaxed Ca2CdSn4Pd3 crystal, as listed in Alexandria via LeMat-Bulk.

a b c (Å): 4.4707 4.4707 11.7647
angles (deg): 90.00 90.00 90.00
Fractional positions:
Ca: 0.0000 0.5000 0.2475
Ca: 0.5000 0.0000 0.7525
Cd: 0.0000 0.0000 0.5000
Sn: 0.0000 0.0000 0.0000
Sn: 0.0000 0.5000 0.6445
Sn: 0.5000 0.0000 0.3555
Sn: 0.5000 0.5000 0.0000
Pd: 0.0000 0.5000 0.8672
Pd: 0.5000 0.0000 0.1328
Pd: 0.5000 0.5000 0.5000

Output
The energy relative to the elements is -0.57 eV/atom. The density of states at the Fermi level comes out at 3.8 states/eV/cell.


Entry 4:
First-principles (PBE) data for a relaxed Si2PBr crystal, as listed in Alexandria via LeMat-Bulk.

a b c (Å): 6.0728 6.0728 6.0728
angles (deg): 110.21 110.21 108.00
Fractional positions:
Si: 0.0700 0.6250 0.9450
Si: 0.3750 0.3200 0.4450
Si: 0.6800 0.1250 0.0550
Si: 0.8750 0.9300 0.5550
P: 0.0000 0.0000 0.0000
P: 0.7500 0.2500 0.5000
Br: 0.2500 0.7500 0.5000
Br: 0.5000 0.5000 0.0000

Output
The density of states at the Fermi level comes out at 3.3 states/eV/cell. As for the total energy: -32.31 eV per cell.


Entry 5:
First-principles (PBE) data for a relaxed GaPN2O crystal, as listed in Alexandria via LeMat-Bulk.

a b c (Å): 3.6256 3.6256 3.3361
angles (deg): 90.00 90.00 90.00
Fractional positions:
Ga: 0.0000 0.0000 0.0000
P: 0.5000 0.5000 0.5000
N: 0.0000 0.5000 0.5000
N: 0.5000 0.0000 0.5000
O: 0.5000 0.5000 0.0000

Output
The density of states at the Fermi level comes out at 0.8 states/eV/cell. As for the total energy: -28.84 eV per cell.


Entry 6:
First-principles (PBE) data for a relaxed SmYBi crystal, as listed in Alexandria via LeMat-Bulk.

a b c (Å): 6.1572 6.1572 6.1572
angles (deg): 141.10 141.10 56.19
Fractional positions:
Sm: 0.0000 0.0000 0.0000
Y: 0.6874 0.6874 0.0000
Bi: 0.3382 0.3382 0.0000

Output
The energy relative to the elements is -0.50 eV/atom. The density of states at the Fermi level comes out at 2.8 states/eV/cell.


Entry 7:
First-principles (PBE) data for a relaxed ScGa2 crystal, as listed in Alexandria via LeMat-Bulk.

a b c (Å): 5.5583 5.5583 5.5583
angles (deg): 136.18 107.46 88.77
Fractional positions:
Sc: 0.3069 0.0569 0.2500
Sc: 0.6931 0.9431 0.7500
Ga: 0.1153 0.6592 0.4560
Ga: 0.2968 0.3408 0.9560
Ga: 0.7032 0.6592 0.0440
Ga: 0.8847 0.3408 0.5440

Output
The energy relative to the elements is -0.57 eV/atom. The density of states at the Fermi level comes out at 3.5 states/eV/cell.


Entry 8:
First-principles (PBE) data for a relaxed Na3CuRh2O6 crystal, as listed in Alexandria via LeMat-Bulk.

a b c (Å): 5.4233 5.4233 5.5173
angles (deg): 99.42 99.42 120.02
Fractional positions:
Na: 0.0000 0.0000 0.0000
Na: 0.3349 0.6651 0.0000
Na: 0.6651 0.3349 0.0000
Cu: 0.5000 0.5000 0.5000
Rh: 0.1667 0.8333 0.5000
Rh: 0.8333 0.1667 0.5000
O: 0.0976 0.4336 0.3005
O: 0.2309 0.2309 0.6994
O: 0.4336 0.0976 0.3005
O: 0.5664 0.9024 0.6995
O: 0.7691 0.7691 0.3006
O: 0.9024 0.5664 0.6995

Output
The density of states at the Fermi level comes out at 5.3 states/eV/cell. As for the total energy: -65.34 eV per cell.


Entry 9:
First-principles (PBE) data for a relaxed MgIrNO2 crystal, as listed in Alexandria via LeMat-Bulk.

a b c (Å): 4.0586 4.0586 3.6798
angles (deg): 90.00 90.00 90.00
Fractional positions:
Mg: 0.0000 0.0000 0.0000
Ir: 0.5000 0.5000 0.5000
N: 0.5000 0.5000 0.0000
O: 0.0000 0.5000 0.5000
O: 0.5000 0.0000 0.5000

Output
The density of states at the Fermi level comes out at 3.0 states/eV/cell. As for the total energy: -30.28 eV per cell.


Entry 10:
First-principles (PBE) data for a relaxed CaCdRu2 crystal, as listed in Alexandria via LeMat-Bulk.

a b c (Å): 6.0708 6.0708 6.0708
angles (deg): 101.36 101.36 127.31
Fractional positions:
Ca: 0.0000 0.0000 0.0000
Ca: 0.7500 0.2500 0.5000
Cd: 0.2500 0.7500 0.5000
Cd: 0.5000 0.5000 0.0000
Ru: 0.1450 0.6250 0.0200
Ru: 0.3750 0.3950 0.5200
Ru: 0.6050 0.1250 0.9800
Ru: 0.8750 0.8550 0.4800

Output
The energy relative to the elements is 0.81 eV/atom. The density of states at the Fermi level comes out at 10.6 states/eV/cell.


Entry 11:
First-principles (PBE) data for a relaxed CaAg2SeO crystal, as listed in Alexandria via LeMat-Bulk.

a b c (Å): 5.1680 5.1680 4.1129
angles (deg): 90.00 90.00 90.00
Fractional positions:
Ca: 0.0000 0.0000 0.0000
Ag: 0.0000 0.5000 0.5000
Ag: 0.5000 0.0000 0.5000
Se: 0.5000 0.5000 0.5000
O: 0.5000 0.5000 0.0000

Output
The density of states at the Fermi level comes out at 2.0 states/eV/cell. As for the total energy: -16.33 eV per cell.


Entry 12:
First-principles (PBE) data for a relaxed ErMnC crystal, as listed in Alexandria via LeMat-Bulk.

a b c (Å): 2.8698 3.2042 4.4948
angles (deg): 90.00 90.00 90.00
Fractional positions:
Er: 0.0000 0.0000 0.0000
Mn: 0.0000 0.5000 0.5000
C: 0.5000 0.0000 0.5000

Output
The energy relative to the elements is 0.38 eV/atom. The density of states at the Fermi level comes out at 2.3 states/eV/cell.


Entry 13:
First-principles (PBE) data for a relaxed TlAgSe2 crystal, as listed in Alexandria via LeMat-Bulk.

a b c (Å): 7.1180 7.1180 7.1180
angles (deg): 132.46 132.46 69.50
Fractional positions:
Tl: 0.3750 0.6250 0.7500
Tl: 0.6250 0.3750 0.2500
Ag: 0.1250 0.8750 0.2500
Ag: 0.8750 0.1250 0.7500
Se: 0.1141 0.3641 0.7500
Se: 0.3641 0.1141 0.2500
Se: 0.6359 0.8859 0.7500
Se: 0.8859 0.6359 0.2500

Output
The density of states at the Fermi level comes out at 3.9 states/eV/cell. As for the total energy: -25.36 eV per cell.


Entry 14:
First-principles (PBE) data for a relaxed B5C7 crystal, as listed in Alexandria via LeMat-Bulk.

a b c (Å): 7.1914 7.1914 4.6078
angles (deg): 107.92 107.92 20.81
Fractional positions:
B: 0.0000 0.0000 0.0000
B: 0.3115 0.3115 0.0269
B: 0.5028 0.5028 0.5668
B: 0.6675 0.6675 0.3948
B: 0.9388 0.9388 0.3076
C: 0.1227 0.1227 0.1622
C: 0.1366 0.1366 0.8659
C: 0.3316 0.3316 0.7020
C: 0.4465 0.4465 0.8306
C: 0.6238 0.6238 0.6854
C: 0.7913 0.7913 0.5104
C: 0.8234 0.8234 0.2151

Output
The energy relative to the elements is 0.36 eV/atom. The density of states at the Fermi level comes out at 1.6 states/eV/cell.


Entry 15:
First-principles (PBE) data for a relaxed LiSc2In crystal, as listed in Alexandria via LeMat-Bulk.

a b c (Å): 3.5511 3.5511 6.9957
angles (deg): 90.00 90.00 90.00
Fractional positions:
Li: 0.0000 0.0000 0.0000
Sc: 0.0000 0.0000 0.5333
Sc: 0.5000 0.5000 0.2600
In: 0.5000 0.5000 0.7935

Output
The energy relative to the elements is -0.13 eV/atom. The density of states at the Fermi level comes out at 3.9 states/eV/cell.


Entry 16:
First-principles (PBE) data for a relaxed GeOs2Pd crystal, as listed in Alexandria via LeMat-Bulk.

a b c (Å): 6.6506 6.6506 6.6506
angles (deg): 128.85 128.85 75.26
Fractional positions:
Ge: 0.0000 0.0000 0.0000
Ge: 0.7500 0.2500 0.5000
Os: 0.1207 0.6250 0.9957
Os: 0.3750 0.3707 0.4957
Os: 0.6293 0.1250 0.0043
Os: 0.8750 0.8793 0.5043
Pd: 0.2500 0.7500 0.5000
Pd: 0.5000 0.5000 0.0000

Output
The energy relative to the elements is 1.48 eV/atom. The density of states at the Fermi level comes out at 16.7 states/eV/cell.


Entry 17:
First-principles (PBE) data for a relaxed K2Ca3PuF12 crystal, as listed in Alexandria via LeMat-Bulk.

a b c (Å): 8.4860 8.4860 8.4860
angles (deg): 56.40 56.40 56.40
Fractional positions:
K: 0.0766 0.0766 0.0766
K: 0.9234 0.9234 0.9234
Ca: 0.0000 0.5000 0.5000
Ca: 0.5000 0.0000 0.5000
Ca: 0.5000 0.5000 0.0000
Pu: 0.5000 0.5000 0.5000
F: 0.1653 0.1653 0.5930
F: 0.1653 0.5930 0.1653
F: 0.1911 0.5643 0.5643
F: 0.4070 0.8347 0.8347
F: 0.4357 0.4357 0.8089
F: 0.4357 0.8089 0.4357
F: 0.5643 0.1911 0.5643
F: 0.5643 0.5643 0.1911
F: 0.5930 0.1653 0.1653
F: 0.8089 0.4357 0.4357
F: 0.8347 0.4070 0.8347
F: 0.8347 0.8347 0.4070

Output
As for the total energy: -107.68 eV per cell.


Entry 18:
First-principles (PBE) data for a relaxed Pm4DyMg crystal, as listed in Alexandria via LeMat-Bulk.

a b c (Å): 5.4760 5.4760 7.4750
angles (deg): 90.06 90.06 90.00
Fractional positions:
Pm: 0.2502 0.7493 0.4898
Pm: 0.2499 0.7501 0.0000
Pm: 0.7493 0.2502 0.4898
Pm: 0.7501 0.2499 0.0000
Dy: 0.2498 0.2498 0.7452
Mg: 0.7498 0.7498 0.2444

Output
The energy relative to the elements is 0.53 eV/atom. The density of states at the Fermi level comes out at 9.5 states/eV/cell.


Entry 19:
First-principles (PBE) data for a relaxed La2TbPmNd crystal, as listed in Alexandria via LeMat-Bulk.

a b c (Å): 6.5362 7.9692 6.8550
angles (deg): 90.00 90.00 90.00
Fractional positions:
La: 0.2500 0.2041 0.2056
La: 0.2500 0.7959 0.2056
La: 0.7500 0.2041 0.7944
La: 0.7500 0.7959 0.7944
Tb: 0.0000 0.5000 0.5000
Tb: 0.5000 0.5000 0.5000
Pm: 0.2500 0.5000 0.9094
Pm: 0.7500 0.5000 0.0906
Nd: 0.2500 0.0000 0.6812
Nd: 0.7500 0.0000 0.3188

Output
The energy relative to the elements is 0.21 eV/atom. The density of states at the Fermi level comes out at 13.7 states/eV/cell.


Entry 20:
First-principles (PBE) data for a relaxed TbAgAs2 crystal, as listed in Alexandria via LeMat-Bulk.

a b c (Å): 4.0101 4.0101 10.3596
angles (deg): 90.00 90.00 90.00
Fractional positions:
Tb: 0.2500 0.2500 0.2250
Tb: 0.7500 0.7500 0.7750
Ag: 0.2500 0.7500 0.5000
Ag: 0.7500 0.2500 0.5000
As: 0.2500 0.2500 0.6873
As: 0.2500 0.7500 0.0000
As: 0.7500 0.2500 0.0000
As: 0.7500 0.7500 0.3127

Output
The energy relative to the elements is -0.75 eV/atom. The density of states at the Fermi level comes out at 3.1 states/eV/cell.


Looking at ρ for the records above, in order, we have 4.534, 14.299, 6.968, 3.219, 5.480, 8.148, 5.651, 5.433, 7.192, 7.386, 5.302, 9.409, 8.110, 2.853, 3.984, 10.699, 2.810, 5.681, 6.752, 8.306 Mg/m³.